1.
Computed, not measured: a relaxed structure of DyHoOsAu at the GGA-PBE level of DFT.

Calculated values
Formation energy ... -492 meV/atom
Volume ... 84.8 Å³/f.u.
Energy ... -6.414 eV per atom
Space-group type ... F-43m (216)
Fermi-level density of states ... 0.44 states/eV per atom

a b c (Å): 4.9316 4.9316 4.9316
angles (deg): 60.00 60.00 60.00
Last column: nearest neighbours and their distance in Å.
Element x y z (fractional)
Au  0.0000  0.0000  0.0000  4 Dy 3.02, 4 Ho 3.02
Dy  0.2500  0.2500  0.2500  4 Os 3.02, 4 Au 3.02
Ho  0.7500  0.7500  0.7500  4 Os 3.02, 4 Au 3.02
Os  0.5000  0.5000  0.5000  4 Ho 3.02, 4 Dy 3.02

---

2.
Computed, not measured: a relaxed structure of CaPrTc4 at the GGA-PBE level of DFT.

Calculated values
Formation energy ... 165 meV/atom
Volume ... 115.3 Å³/f.u.
Energy ... -7.876 eV per atom
Space-group type ... F-43m (216)
Fermi-level density of states ... 0.84 states/eV per atom

a b c (Å): 5.4632 5.4632 5.4632
angles (deg): 60.00 60.00 60.00
Last column: nearest neighbours and their distance in Å.
Element x y z (fractional)
Tc  0.6250  0.6250  0.6250  6 Tc 2.73
Tc  0.1249  0.6250  0.6250  6 Tc 2.73
Tc  0.6250  0.6250  0.1249  6 Tc 2.73
Tc  0.6250  0.1249  0.6250  6 Tc 2.73
Ca  0.0000  0.0000  0.0000  12 Tc 3.20, 4 Pr 3.35
Pr  0.2500  0.2500  0.2500  12 Tc 3.20, 4 Ca 3.35

---

3.
Computed, not measured: a relaxed structure of La4Mg2Tl at the GGA-PBE level of DFT.

Calculated values
Formation energy ... -48 meV/atom
Volume ... 234.4 Å³/f.u.
Energy ... -3.657 eV per atom
Space-group type ... R-3m (166)
Fermi-level density of states ... 1.41 states/eV per atom

a b c (Å): 5.5319 5.5319 9.4035
angles (deg): 72.89 72.89 60.00
Last column: nearest neighbours and their distance in Å.
Element x y z (fractional)
La  0.1308  0.1308  0.6076  4 Mg 3.31-3.49, 1 Tl 3.47
La  0.6163  0.6163  0.1511  4 Mg 3.28-3.40, 3 Tl 3.46
La  0.8692  0.8692  0.3924  4 Mg 3.31-3.49, 1 Tl 3.47
La  0.3837  0.3837  0.8489  4 Mg 3.28-3.40, 3 Tl 3.46
Tl  0.0000  0.0000  0.0000  8 La 3.46-3.47, 6 Mg 3.80
Mg  0.2554  0.2554  0.2337  8 La 3.28-3.49
Mg  0.7446  0.7446  0.7663  8 La 3.28-3.49

---

4.
Computed, not measured: a relaxed structure of AlReNi2H at the GGA-PBE level of DFT.

Calculated values
Volume ... 52.8 Å³/f.u.
Energy ... -6.308 eV per atom
Space-group type ... P4/mmm (123)
Fermi-level density of states ... 0.93 states/eV per atom

a b c (Å): 3.6608 3.6608 3.9416
angles (deg): 90.00 90.00 90.00
Last column: nearest neighbours and their distance in Å.
Element x y z (fractional)
Ni  0.0000  0.5000  0.0000  2 H 1.83
Ni  0.5000  0.0000  0.0000  2 H 1.83
H  0.0000  0.0000  0.0000  4 Ni 1.83, 2 Re 1.97
Al  0.5000  0.5000  0.5000  4 Re 2.59, 8 Ni 2.69
Re  0.0000  0.0000  0.5000  2 H 1.97